Model 1:
A plane-wave DFT calculation with GGA-PBE was carried out for a relaxed TaCrGa2 crystal.

Geometry as POSCAR:
```
TaCrGa2
1.0
-2.4744 3.1261 0.6290
-3.0618 -2.3720 -0.2557
0.1716 -0.6339 3.8256
Ta Ga Cr
1 2 1
Direct
0.5000 0.0000 0.0000
0.0000 0.5000 0.0000
0.0000 0.0000 0.5000
0.5000 0.5000 0.5000
```

Output
Total magnetic moment = 1.915 μB per cell
Density of states at the Fermi level = 2.33 states/eV/f.u.
V = 60.8 Å³ per cell
Theoretical density = 10.2 g/cm³

---

Model 2:
A plane-wave DFT calculation with GGA-PBE was carried out for a relaxed TaCrGa2 crystal.

Geometry as POSCAR:
```
TaCrGa2
1.0
0.0000 3.1405 3.1405
3.1405 0.0000 3.1405
3.1405 3.1405 0.0000
Cr Ga Ta
1 2 1
Direct
0.0000 0.0000 0.0000
0.7500 0.7500 0.7500
0.2500 0.2500 0.2500
0.5000 0.5000 0.5000
```

Output
Total magnetic moment = 1.321 μB per cell
Density of states at the Fermi level = 4.33 states/eV/f.u.
V = 62.0 Å³ per cell
Theoretical density = 10.0 g/cm³

---

Relative stability in kJ/mol of atoms, measured from the most stable structure: model 1 0.0; model 2 18.9

---

Model 1:
A plane-wave DFT calculation with GGA-PBE was carried out for a relaxed TaCr2Ga2 crystal.

Geometry as POSCAR:
```
TaCr2Ga2
1.0
-5.2970 -0.6066 -4.6684
-2.8515 -5.1783 3.9083
-1.5244 1.9533 1.4759
Cr Ta Ga
4 2 4
Direct
0.8932 0.6068 0.0000
0.3932 0.8932 0.0000
0.1068 0.3932 0.0000
0.6068 0.1068 0.0000
0.5000 0.5000 0.0000
0.0000 0.0000 0.0000
0.6851 0.8149 0.5000
0.1851 0.6851 0.5000
0.3149 0.1851 0.5000
0.8149 0.3149 0.5000
```

Output
Total magnetic moment = 0.000 μB per cell
Density of states at the Fermi level = 3.84 states/eV/f.u.
V = 144.8 Å³ per cell
Theoretical density = 9.7 g/cm³

---

Model 2:
A plane-wave DFT calculation with GGA-PBE was carried out for a relaxed TaCr2Ga2 crystal.

Geometry as POSCAR:
```
TaCr2Ga2
1.0
-4.1713 1.0040 5.3820
-5.4106 0.2778 -4.2453
-0.3707 -3.0147 0.2751
Ga Cr Ta
4 4 2
Direct
0.8728 0.6272 0.0000
0.1272 0.3728 0.0000
0.3728 0.8728 0.0000
0.6272 0.1272 0.0000
0.3271 0.1729 0.5000
0.8271 0.3271 0.5000
0.6729 0.8271 0.5000
0.1729 0.6729 0.5000
0.0000 0.0000 0.0000
0.5000 0.5000 0.0000
```

Output
Total magnetic moment = 3.688 μB per cell
Density of states at the Fermi level = 3.15 states/eV/f.u.
V = 144.5 Å³ per cell
Theoretical density = 9.8 g/cm³

---

Relative stability in kJ/mol of atoms, measured from the most stable structure: model 1 11.7; model 2 0.0